{"formula": "Dy3YSc2", "functional": "GGA-PBE", "state": "relaxed", "cell": [[-2.7288, 4.6476, -0.7570], [-6.7939, -3.3128, 4.1519], [5.3682, 4.0334, 5.4114]], "species": ["Dy", "Dy", "Dy", "Dy", "Dy", "Dy", "Y", "Y", "Sc", "Sc", "Sc", "Sc"], "frac_coords": [[0.4930, 0.1105, 0.6259], [0.9930, 0.8895, 0.3741], [0.4930, 0.6259, 0.1105], [0.4930, 0.9065, 0.9065], [0.9930, 0.3741, 0.8895], [0.9930, 0.0935, 0.0935], [0.9930, 0.7237, 0.7237], [0.4930, 0.2763, 0.2763], [0.4930, 0.7001, 0.4876], [0.4930, 0.4876, 0.7001], [0.9930, 0.2999, 0.5124], [0.9930, 0.5124, 0.2999]], "m_tot_mub_per_cell": 0.00, "e_form_ev_per_atom": 0.298, "rho_g_cm3": 5.88, "dos_ef_per_ev_atom": 1.84, "total_energy_ev_per_atom": -5.191, "relative_energy_mev_per_atom": 145.1}